(1)
DFT (GGA-PBE) results for a geometry-optimized Hf2NbHRh structure.

Offset from the most stable computed form, eV per atom: 0.043
Space group: No. 123
Density of states at the Fermi level, states/eV per cell: 6.83
Total energy, eV/atom: -8.47

Unit cell a=4.6695 b=4.6695 c=3.5289 alpha=90.00 beta=90.00 gamma=90.00
Positions (direct):
Nb 0.5000 0.5000 0.5000
Hf 0.0000 0.5000 0.0000
Hf 0.5000 0.0000 0.0000
H 0.0000 0.0000 0.0000
Rh 0.0000 0.0000 0.5000


(2)
DFT (GGA-PBE) results for a geometry-optimized Hg2ClF structure.

Offset from the most stable computed form, eV per atom: 0.000
Space group: No. 11
Raw formation energy, meV/atom: -680.1
Density of states at the Fermi level, states/eV per cell: 0.45
Total energy, eV/atom: -1.76

Unit cell a=4.4485 b=4.4476 c=12.0544 alpha=82.37 beta=90.00 gamma=90.00
Positions (direct):
Hg 0.2500 0.7457 0.4955
Hg 0.7500 0.7942 0.8813
Hg 0.7500 0.2543 0.5045
Hg 0.2500 0.2058 0.1187
F 0.2500 0.1280 0.2902
F 0.7500 0.8720 0.7098
Cl 0.2500 0.2838 0.9144
Cl 0.7500 0.7162 0.0856